{
  "formula": "MnPN",
  "functional": "PBE-GGA",
  "state": "optimized geometry",
  "lattice_angstrom": [[2.610, 0.000, 0.000], [-1.296, 3.358, 0.000], [-0.001, -1.870, 4.136]],
  "species": ["Mn", "P", "N"],
  "frac_coords": [[0.000, 0.000, 0.000], [0.361, 0.721, 0.292], [0.460, 0.919, 0.689]],
  "formation_energy_uncorrected_ev_per_atom": -0.1129
}